The following is a PBE calculation of an optimized crystal structure of Tb2SmHo4Tm2, from the Alexandria database.

Cell and atoms, written as POSCAR:
```
Tb2SmHo4Tm2
1.0
-2.5575 -1.9560 1.5374
7.6666 -4.9994 2.2529
-1.9898 7.1895 5.8367
Tb Sm Ho Tm
2 1 4 2
Cartesian
2.5554 -2.7904 4.8410 Tb
0.5639 3.0245 4.7860 Tb
0.0000 0.0000 0.0000 Sm
1.4147 0.0469 6.5531 Ho
1.7047 0.1872 3.0739 Ho
-1.7040 1.2007 2.8331 Ho
4.8233 -0.9666 6.7938 Ho
2.2578 3.2076 7.8366 Tm
0.8615 -2.9734 1.7904 Tm
```

Calculated values
- energy relative to the elements (eV/atom) = 0.00
- calculated total energy (eV/atom) = -4.58

***

The following is a PBE calculation of an optimized crystal structure of TbSm3Ho2Tm6, from the Alexandria database.

Cell and atoms, written as POSCAR:
```
TbSm3Ho2Tm6
1.0
6.1258 0.0012 -0.0017
-3.0603 5.3065 -0.0017
-1.0151 -1.7576 11.4825
Tb Sm Ho Tm
1 3 2 6
Cartesian
0.0000 0.0000 0.0000 Tb
-2.0366 3.5433 5.7395 Sm
4.0869 0.0068 5.7395 Sm
1.0252 1.7751 5.7395 Sm
0.0009 3.5385 -0.0017 Ho
3.0645 1.7692 -0.0017 Ho
3.0688 1.7775 8.6353 Tm
2.0451 3.5410 2.8411 Tm
-1.0185 1.7726 2.8438 Tm
0.0059 3.5464 8.6353 Tm
0.0053 0.0091 8.6380 Tm
2.0444 0.0037 2.8438 Tm
```

Calculated values
- energy relative to the elements (eV/atom) = 0.02
- calculated total energy (eV/atom) = -4.54

***

The following is a PBE calculation of an optimized crystal structure of Tb2SmHo3Tm6, from the Alexandria database.

Cell and atoms, written as POSCAR:
```
Tb2SmHo3Tm6
1.0
-5.0369 -3.3779 -0.6198
3.4016 -0.5040 5.0339
-5.6176 9.5604 3.5248
Tb Sm Ho Tm
2 1 3 6
Cartesian
0.5889 -1.4619 3.1495 Tb
-2.2242 -2.4200 1.2647 Tb
0.0000 0.0000 0.0000 Sm
-0.8146 3.7969 5.8534 Ho
-6.4384 1.8816 2.0856 Ho
-3.6265 2.8393 3.9695 Ho
-6.8369 3.7699 5.0011 Tm
-2.6401 -0.5106 4.2000 Tm
-0.4161 1.9087 2.9379 Tm
-4.0222 4.7284 6.8869 Tm
-4.6129 6.1892 3.7390 Tm
-3.2308 0.9501 1.0521 Tm
```

Calculated values
- energy relative to the elements (eV/atom) = 0.02
- calculated total energy (eV/atom) = -4.52

***

The following is a PBE calculation of an optimized crystal structure of Tb3SmHo6Tm2, from the Alexandria database.

Cell and atoms, written as POSCAR:
```
Tb3SmHo6Tm2
1.0
6.1172 0.0018 0.0076
-3.0555 5.2994 0.0076
-1.0290 -1.7816 11.5315
Tb Sm Ho Tm
3 1 6 2
Cartesian
-2.0389 3.5243 5.7733 Tb
4.0715 -0.0047 5.7733 Tb
1.0163 1.7598 5.7733 Tb
0.0000 0.0000 0.0000 Sm
3.0535 1.7505 8.6666 Ho
2.0383 3.5293 2.8854 Ho
-1.0209 1.7690 2.8801 Ho
-0.0098 3.5197 8.6666 Ho
-0.0056 -0.0097 8.6613 Ho
2.0425 -0.0001 2.8801 Ho
0.0012 3.5340 0.0076 Tm
3.0604 1.7672 0.0076 Tm
```

Calculated values
- energy relative to the elements (eV/atom) = 0.02
- calculated total energy (eV/atom) = -4.57